Material: MnWO2
Method: DFT, GGA+U
State: optimized geometry

Cell lengths 6.4637, 6.4637, 6.4637 Å; angles 27.83, 27.83, 27.83 degrees
Each line ends with the local moment (μB).
Fractional positions:
O  0.8970  0.8970  0.8970  0.04
O  0.1030  0.1030  0.1030  0.04
W  0.0000  0.0000  0.0000  0.18
Mn  0.5000  0.5000  0.5000  4.60

Output
ΔE to the lowest computed polymorph	0	meV per atom
Fermi-level density of states	0.72	states/eV/f.u.